Record 1
A relaxed KTc2Rh crystal. Source: Alexandria via LeMat-Bulk, functional PBE-GGA.

Structure (CIF):
```
data_KTc2Rh
_cell_length_a 2.672
_cell_length_b 5.025
_cell_length_c 10.795
_cell_angle_alpha 90.00
_cell_angle_beta 90.00
_cell_angle_gamma 90.00
_space_group_name_H-M_alt 'I m m m'
_space_group_IT_number 71
_space_group_name_Hall '-I 2 2'
loop_
_atom_site_label
_atom_site_type_symbol
_atom_site_fract_x
_atom_site_fract_y
_atom_site_fract_z
K1 K 0.000 0.000 0.000
Tc1 Tc 0.000 0.500 0.210
Rh1 Rh 0.000 0.000 0.500
```

## Properties
- DFT formation energy (eV per atom) = 0.890
- calculated total energy (eV per atom) = -6.405
- offset from the most stable computed form (eV/f.u.) = 1.31

---

Record 2
A relaxed HoTaN2 crystal. Source: Alexandria via LeMat-Bulk, functional PBE-GGA.

Structure (CIF):
```
data_HoTaN2
_cell_length_a 3.1612
_cell_length_b 3.1612
_cell_length_c 17.0693
_cell_angle_alpha 90.00
_cell_angle_beta 90.00
_cell_angle_gamma 120.00
_space_group_name_H-M_alt 'R 3 m'
_space_group_IT_number 160
_space_group_name_Hall 'R 3 -2"'
loop_
_atom_site_label
_atom_site_type_symbol
_atom_site_fract_x
_atom_site_fract_y
_atom_site_fract_z
Ho1 Ho 0.0000 0.0000 0.0000
Ta1 Ta 0.0000 0.0000 0.8245
N1 N 0.0000 0.0000 0.4166
N2 N 0.0000 0.0000 0.5701
```

## Properties
- ΔE_f (raw) (meV/atom) = -1354
- calculated total energy (eV per atom) = -9.625

---

no.,N(E_F) (states/eV/cell)
1,7.3
2,0.4